[1]
Crystalline PrZn2Cu4 at its relaxed geometry, computed with PBE.

Computed properties:
Space-group type   I4/mmm, No. 139
Energy   -22.21 eV per cell
ΔE to the lowest computed polymorph   414 meV/atom

Lattice parameters (Å, degrees): 5.777 5.777 5.777 102.26 102.26 125.11
Fractional coordinates of all 7 atoms:
Pr1 0.000 0.000 0.000
Zn1 0.250 0.750 0.500
Zn2 0.750 0.250 0.500
Cu1 0.273 0.500 0.773
Cu2 0.500 0.273 0.773
Cu3 0.500 0.727 0.227
Cu4 0.727 0.500 0.227

---

[2]
Crystalline Pr4ZnCu3 at its relaxed geometry, computed with PBE.

Computed properties:
Space-group type   Pmm2, No. 25
Energy   -34.10 eV per cell

Lattice parameters (Å, degrees): 4.317 4.456 10.304 90.00 90.00 90.00
Fractional coordinates of all 8 atoms:
Pr1 0.000 0.000 0.000
Pr2 0.000 0.500 0.284
Pr3 0.500 0.000 0.486
Pr4 0.500 0.500 0.783
Zn1 0.000 0.000 0.700
Cu1 0.000 0.500 0.573
Cu2 0.500 0.000 0.201
Cu3 0.500 0.500 0.079

---

[3]
Crystalline Pr3ZnCu8 at its relaxed geometry, computed with PBE.

Computed properties:
Space-group type   R3m, No. 160
Energy   -49.62 eV per cell

Lattice parameters (Å, degrees): 9.142 9.142 9.142 33.51 33.51 33.51
Fractional coordinates of all 12 atoms:
Pr1 0.000 0.000 0.000
Pr2 0.126 0.126 0.126
Pr3 0.515 0.515 0.515
Zn1 0.638 0.638 0.638
Cu1 0.062 0.568 0.568
Cu2 0.075 0.075 0.561
Cu3 0.075 0.561 0.075
Cu4 0.317 0.317 0.317
Cu5 0.561 0.075 0.075
Cu6 0.568 0.062 0.568
Cu7 0.568 0.568 0.062
Cu8 0.820 0.820 0.820

---

[4]
Crystalline Pr4Zn5Cu2 at its relaxed geometry, computed with PBE.

Computed properties:
Space-group type   P2/m, No. 10
Energy   -35.99 eV per cell

Lattice parameters (Å, degrees): 7.121 3.887 9.177 90.00 93.95 90.00
Fractional coordinates of all 11 atoms:
Pr1 0.178 0.000 0.374
Pr2 0.257 0.000 0.938
Pr3 0.743 0.000 0.062
Pr4 0.822 0.000 0.626
Zn1 0.200 0.500 0.660
Zn2 0.440 0.500 0.205
Zn3 0.500 0.500 0.500
Zn4 0.560 0.500 0.795
Zn5 0.800 0.500 0.340
Cu1 0.062 0.500 0.135
Cu2 0.938 0.500 0.865